[1]
Compound: Mg3MnAg
Source: Alexandria
Functional: PBE-GGA
Structure: optimized geometry

```
Mg3MnAg
1.0
5.059 0.000 0.000
0.000 5.059 0.000
0.000 0.000 5.059
Mg Ag Mn
3 1 1
Cartesian
2.529 0.000 0.000
0.000 0.000 2.529
0.000 2.529 0.000
2.529 2.529 2.529
0.000 0.000 0.000
```

Properties
As for the space group: No. 221. The energy relative to the elements comes out at 0.7135 eV/atom. Its calculated total energy is -2.6474 eV/atom.

***

[2]
Compound: Ho2GaCo4Ge3
Source: Alexandria
Functional: PBE-GGA
Structure: optimized geometry

```
Ho2GaCo4Ge3
1.0
-1.819 -3.139 1.693
2.379 0.347 3.201
-6.511 6.031 4.185
Co Ge Ga Ho
4 3 1 2
Cartesian
0.000 0.000 0.000
0.280 -1.396 2.447
-1.195 2.382 3.133
-5.037 2.254 3.499
0.346 0.955 2.143
-6.577 3.681 4.489
-3.256 3.016 2.093
-2.976 1.620 4.539
-2.539 -0.060 1.894
-3.692 4.696 4.738
```

Properties
As for the space group: No. 115. The energy relative to the elements comes out at -0.5485 eV/atom. Its calculated total energy is -5.9943 eV/atom.

***

[3]
Compound: LiGe3Pt4
Source: Alexandria
Functional: PBE-GGA
Structure: optimized geometry

```
LiGe3Pt4
1.0
6.830 0.000 0.000
0.000 6.369 0.000
0.000 0.000 7.254
Pt Ge Li
8 6 2
Cartesian
4.628 4.552 5.099
4.622 0.738 3.627
4.628 4.552 2.155
1.207 5.631 0.000
3.353 0.983 0.000
6.768 5.386 3.627
1.213 1.817 5.782
1.213 1.817 1.472
0.326 4.063 5.620
3.741 2.306 1.993
3.741 2.306 5.260
3.647 4.923 0.000
0.326 4.063 1.633
0.232 1.445 3.627
2.479 5.540 3.627
5.894 0.829 0.000
```

Properties
As for the space group: No. 31. The energy relative to the elements comes out at -0.3313 eV/atom. Its calculated total energy is -5.3224 eV/atom.

***

[4]
Compound: Ac4SbAsSe2
Source: Alexandria
Functional: PBE-GGA
Structure: optimized geometry

```
Ac4SbAsSe2
1.0
4.592 0.000 0.000
0.000 7.873 -0.126
0.000 2.802 7.464
Ac Sb Se As
4 1 2 1
Cartesian
4.592 2.675 1.913
2.296 4.071 5.491
2.296 6.604 1.847
0.000 8.000 5.425
2.296 3.937 -0.063
0.000 2.802 7.464
2.296 1.401 3.732
0.000 5.337 3.669
```

Properties
As for the space group: No. 10. The formation energy (no corrections) comes out at -13.07 eV per formula unit. Its calculated total energy is -5.6557 eV/atom.

***

[5]
Compound: KCd2Ni
Source: Alexandria
Functional: PBE-GGA
Structure: optimized geometry

```
KCd2Ni
1.0
-1.537 -5.225 0.783
5.394 -0.189 -1.069
0.613 0.276 3.042
Ni Cd K
1 2 1
Cartesian
3.003 0.043 0.986
0.000 0.000 0.000
1.929 -2.707 -0.143
-0.462 -2.475 1.912
```

Properties
As for the space group: No. 65. The energy relative to the elements comes out at 0.4902 eV/atom. Its calculated total energy is -1.6870 eV/atom.

***

[6]
Compound: ZrBi
Source: Alexandria
Functional: PBE-GGA
Structure: optimized geometry

```
ZrBi
1.0
-0.833 3.143 -0.553
-11.754 -1.877 7.038
3.608 2.115 6.589
Bi Zr
6 6
Cartesian
-4.979 0.337 9.415
-5.009 1.386 5.589
2.672 3.383 5.364
-9.149 -1.099 7.538
-0.906 0.218 2.602
-1.469 0.897 7.313
-0.539 2.434 4.811
-3.840 1.138 2.413
-7.913 1.257 9.226
-8.220 0.438 5.036
1.908 1.119 3.485
-5.772 -0.877 3.709
```

Properties
As for the space group: No. 38. The energy relative to the elements comes out at -0.0211 eV/atom. Its calculated total energy is -6.2356 eV/atom.

***

[7]
Compound: KTe2Au
Source: Alexandria
Functional: PBE-GGA
Structure: optimized geometry

```
KTe2Au
1.0
6.248 0.000 0.000
0.000 6.285 -0.323
0.000 -1.931 16.705
K Te Au
4 8 4
Cartesian
3.652 4.950 10.120
2.597 2.773 1.929
2.597 -0.596 6.262
3.652 1.581 14.452
5.721 2.826 3.591
4.487 -1.584 16.340
4.487 1.830 8.555
1.761 2.524 7.826
0.527 1.528 12.790
0.527 -1.282 12.105
5.721 5.636 4.276
1.761 5.938 0.041
5.380 0.065 2.093
5.380 2.112 6.098
0.869 2.242 10.283
0.869 4.289 14.289
```

Properties
As for the space group: No. 13. The formation energy (no corrections) comes out at -1.89 eV per formula unit. Its calculated total energy is -3.1371 eV/atom.

***

[8]
Compound: KIn2P
Source: Alexandria
Functional: PBE-GGA
Structure: optimized geometry

```
KIn2P
1.0
-2.687 4.932 1.535
-5.698 -0.421 -1.121
3.681 -3.489 2.860
In K P
2 1 1
Cartesian
-4.193 2.255 0.207
0.000 0.000 0.000
-3.105 -0.828 0.973
-1.600 1.849 2.301
```

Properties
As for the space group: No. 139. The energy relative to the elements comes out at 0.1372 eV/atom. Its calculated total energy is -2.8589 eV/atom.

***

[9]
Compound: Dy2NbZn2Rh5
Source: Alexandria
Functional: PBE-GGA
Structure: optimized geometry

```
Dy2NbZn2Rh5
1.0
-2.535 -0.785 -2.360
-0.271 -9.208 3.354
-6.860 2.574 6.512
Rh Nb Zn Dy
10 2 4 4
Cartesian
-6.781 1.056 4.261
-6.216 -3.811 5.272
-4.430 -5.712 3.986
-2.885 -8.474 3.246
-5.237 -1.706 3.520
-3.450 -3.608 2.234
-1.779 -2.053 -0.079
-7.887 -5.366 7.585
-1.403 -4.996 0.497
-4.698 0.895 2.076
0.000 0.000 0.000
-3.566 -3.317 4.933
-2.804 -7.086 5.369
-4.327 0.453 4.498
-6.167 -3.512 7.792
-0.965 -3.121 2.075
-2.302 -0.731 2.715
-1.357 -5.740 3.367
-5.775 -0.894 6.500
-4.829 -5.903 7.151
```

Properties
As for the space group: No. 127. The energy relative to the elements comes out at -0.6237 eV/atom. Its calculated total energy is -6.4816 eV/atom.

***

[10]
Compound: Ag2TeI
Source: Alexandria
Functional: PBE-GGA
Structure: optimized geometry

```
Ag2TeI
1.0
4.727 0.000 0.000
-0.138 6.772 0.000
-0.866 -1.803 7.680
Ag I Te
4 2 2
Cartesian
0.022 4.910 7.435
1.709 0.607 4.624
3.281 2.800 5.943
3.630 3.586 2.094
1.182 4.379 4.792
0.496 1.094 7.230
4.002 1.149 3.216
3.309 6.092 1.110
```

Properties
As for the space group: No. 1. The formation energy (no corrections) comes out at -0.40 eV per formula unit. Its calculated total energy is -2.6983 eV/atom.

***

[11]
Compound: CuPCl2
Source: Alexandria
Functional: PBE-GGA
Structure: optimized geometry

```
CuPCl2
1.0
7.694 -0.047 -0.116
-4.456 3.848 0.065
-1.218 1.099 2.690
P Cu Cl
1 1 2
Cartesian
1.619 1.901 -0.025
-2.837 2.474 1.378
3.238 0.526 1.287
0.000 0.000 0.000
```

Properties
As for the space group: No. 12. The formation energy (no corrections) comes out at 1.11 eV per formula unit. Its calculated total energy is -3.0224 eV/atom.

***

[12]
Compound: CeY2Ga
Source: Alexandria
Functional: PBE-GGA
Structure: optimized geometry

```
CeY2Ga
1.0
3.560 0.000 0.000
1.780 3.083 0.000
1.780 1.028 10.248
Y Ga Ce
2 1 1
Cartesian
5.340 3.083 8.023
1.780 1.028 2.225
0.000 0.000 0.000
3.560 2.055 5.124
```

Properties
As for the space group: No. 166. The energy relative to the elements comes out at -0.1561 eV/atom. Its calculated total energy is -5.6284 eV/atom.

***

[13]
Compound: YFeBr2
Source: Alexandria
Functional: PBE-GGA
Structure: optimized geometry

```
YFeBr2
1.0
-1.116 3.783 -2.324
-2.508 -1.931 -1.938
-3.863 1.313 3.994
Fe Y Br
1 1 2
Cartesian
-2.151 1.737 -0.648
-5.337 1.429 0.380
-3.073 -0.262 1.050
-0.112 -0.047 -0.022
```

Properties
As for the space group: No. 10. The formation energy (no corrections) comes out at -0.88 eV per formula unit. Its calculated total energy is -4.7883 eV/atom.

***

[14]
Compound: Ca2BiOsO6
Source: Alexandria
Functional: PBE-GGA
Structure: optimized geometry

```
Ca2BiOsO6
1.0
5.023 0.000 0.000
0.000 5.738 0.000
0.000 0.000 5.738
Os O Ca Bi
1 6 2 1
Cartesian
3.031 0.000 0.000
3.679 4.422 1.316
3.679 1.316 1.316
3.679 1.316 4.422
1.236 0.000 0.000
3.679 4.422 4.422
0.749 2.869 2.869
4.880 0.000 2.869
4.880 2.869 0.000
2.886 2.869 2.869
```

Properties
As for the space group: No. 99. The formation energy (no corrections) comes out at -16.48 eV per formula unit. Its calculated total energy is -6.5343 eV/atom.

***

[15]
Compound: Ca3LaSc
Source: Alexandria
Functional: PBE-GGA
Structure: optimized geometry

```
Ca3LaSc
1.0
-4.511 -1.206 3.537
2.832 -4.720 2.002
2.437 3.252 4.218
Ca La Sc
3 1 1
Cartesian
1.416 -2.360 1.001
-2.255 -0.603 1.768
1.219 1.626 2.109
0.380 -1.337 4.878
0.000 0.000 0.000
```

Properties
As for the space group: No. 221. The energy relative to the elements comes out at 0.6324 eV/atom. Its calculated total energy is -2.8204 eV/atom.

***

[16]
Compound: VHIr
Source: Alexandria
Functional: PBE-GGA
Structure: optimized geometry

```
VHIr
1.0
2.782 0.000 0.000
0.000 2.782 0.000
-1.391 -1.391 4.175
Ir V H
1 1 1
Cartesian
0.000 0.000 2.497
0.000 0.000 0.116
1.391 1.391 0.310
```

Properties
As for the space group: No. 107. Its calculated total energy is -7.1368 eV/atom.

***

[17]
Compound: BHF3
Source: Alexandria
Functional: PBE-GGA
Structure: optimized geometry

```
BHF3
1.0
3.408 -0.002 0.000
-0.111 6.313 0.000
0.000 0.000 6.599
F B H
6 2 2
Cartesian
1.300 6.242 1.650
0.028 4.712 2.802
3.269 1.599 3.797
3.269 1.599 6.101
0.028 4.712 0.498
1.996 0.069 4.949
2.849 1.092 4.949
0.448 5.219 1.650
1.678 2.667 1.650
1.618 3.644 4.949
```

Properties
As for the space group: No. 11. Its calculated total energy is -4.8864 eV/atom.

***

[18]
Compound: Si2Te
Source: Alexandria
Functional: PBE-GGA
Structure: optimized geometry

```
Si2Te
1.0
-4.275 -1.995 0.250
-0.889 -3.986 -2.375
-0.577 -4.064 2.338
Te Si
1 2
Cartesian
0.000 0.000 0.000
-1.435 -2.511 0.053
-4.306 -7.533 0.160
```

Properties
As for the space group: No. 225. The formation energy (no corrections) comes out at 2.88 eV per formula unit. Its calculated total energy is -3.7023 eV/atom.

***

[19]
Compound: ErPSe
Source: Alexandria
Functional: PBE-GGA
Structure: optimized geometry

```
ErPSe
1.0
4.428 0.000 0.000
-2.214 4.495 0.280
0.000 -1.366 7.413
P Se Er
2 2 2
Cartesian
2.214 2.460 6.787
0.000 0.669 0.907
2.214 0.434 4.095
0.000 2.695 3.598
0.000 0.828 5.975
2.214 2.300 1.719
```

Properties
As for the space group: No. 12. The formation energy (no corrections) comes out at -3.05 eV per formula unit. Its calculated total energy is -5.5016 eV/atom.

***

[20]
Compound: SnHg2PbS4
Source: Alexandria
Functional: PBE-GGA
Structure: optimized geometry

```
SnHg2PbS4
1.0
6.457 0.000 0.000
0.000 9.034 0.000
0.000 0.000 8.336
Hg S Pb Sn
4 8 2 2
Cartesian
6.380 5.887 6.261
3.152 3.147 2.093
3.152 3.147 6.243
6.380 5.887 2.075
5.823 3.333 6.296
5.823 3.333 2.040
2.570 1.787 4.168
2.595 5.701 2.128
2.421 1.837 0.000
5.798 7.247 0.000
5.650 7.198 4.168
2.595 5.701 6.209
3.071 7.449 0.000
6.300 1.585 4.168
6.270 1.715 0.000
3.042 7.320 4.168
```

Properties
As for the space group: No. 31. The formation energy (no corrections) comes out at -1.86 eV per formula unit. Its calculated total energy is -3.3357 eV/atom.